No. 1
Compound: PaBe13
Source: the Open Quantum Materials Database
Functional: PBE
Structure: optimized geometry

The calculation puts the size of the total moment at 0.0 μB/f.u. The value obtained for the uncorrected energy is -4.29 eV/atom.

The space group is Fm-3c (No. 226) and the conventional cell measures 10.204, 10.204 and 10.204 Å, with angles of 90.00, 90.00 and 90.00 degrees. Symmetry generates all atoms from Pa at (0.250, 0.250, 0.250), Be at (0.000, 0.000, 0.000) and Be at (0.000, 0.115, 0.176).

=====

No. 2
Compound: PmPaBe
Source: the Open Quantum Materials Database
Functional: PBE
Structure: optimized geometry

The calculation puts the size of the total moment at 0.0 μB/f.u. The value obtained for the uncorrected energy is -5.44 eV/atom. The calculation puts the energy relative to the lowest polymorph listed for this composition at 0 meV/atom.

The space group is F-43m (No. 216) and the conventional cell measures 6.611, 6.611 and 6.611 Å, with angles of 90.00, 90.00 and 90.00 degrees. Symmetry generates all atoms from Pm at (0.000, 0.000, 0.000), Pa at (0.000, 0.000, 0.500) and Be at (0.250, 0.250, 0.750).

=====

No. 3
Compound: RbPaBe
Source: the Open Quantum Materials Database
Functional: PBE
Structure: optimized geometry

The calculation puts the size of the total moment at 1.4 μB/f.u. The value obtained for the uncorrected energy is -3.02 eV/atom.

The space group is F-43m (No. 216) and the conventional cell measures 7.095, 7.095 and 7.095 Å, with angles of 90.00, 90.00 and 90.00 degrees. Symmetry generates all atoms from Rb at (0.000, 0.000, 0.000), Pa at (0.000, 0.000, 0.500) and Be at (0.250, 0.250, 0.750).

=====

No. 4
Compound: PaBeSb
Source: the Open Quantum Materials Database
Functional: PBE
Structure: optimized geometry

The calculation puts the size of the total moment at 1.3 μB/f.u. The value obtained for the uncorrected energy is -5.19 eV/atom. The calculation puts the energy relative to the lowest polymorph listed for this composition at 496 meV/atom.

The space group is F-43m (No. 216) and the conventional cell measures 6.853, 6.853 and 6.853 Å, with angles of 90.00, 90.00 and 90.00 degrees. Symmetry generates all atoms from Pa at (0.000, 0.000, 0.000), Be at (0.250, 0.250, 0.750) and Sb at (0.250, 0.250, 0.250).

=====

Question: Number 1 is which compound?
Answer: PaBe13

=====

Question: Which value of uncorrected energy does entry 3 give?
Answer: -3.02 eV/atom

=====

Question: Among the records above, which one has the lowest uncorrected energy?
Answer: PmPaBe